(1)
{
  "formula": "Mg2TcAg",
  "functional": "GGA-PBE",
  "state": "relaxed",
  "lattice": [[-3.632, 3.632, 2.863], [3.632, -3.632, 2.863], [3.632, 3.632, -2.863]],
  "species": ["Mg", "Mg", "Mg", "Mg", "Tc", "Tc", "Ag", "Ag"],
  "frac_coords": [[0.118, 0.125, 0.493], [0.375, 0.882, 0.007], [0.632, 0.625, 0.507], [0.875, 0.368, 0.993], [0.250, 0.750, 0.500], [0.500, 0.500, 0.000], [0.000, 0.000, 0.000], [0.750, 0.250, 0.500]],
  "mass_density_g_cm3": 5.6,
  "total_energy_ev_per_atom": -3.536,
  "ef_ev_per_atom": 0.565
}

(2)
{
  "formula": "LiAc3Tl4",
  "functional": "GGA-PBE",
  "state": "relaxed",
  "lattice": [[3.844, 0.000, 0.000], [0.000, 3.844, 0.000], [0.000, 0.000, 17.118]],
  "species": ["Li", "Ac", "Ac", "Ac", "Tl", "Tl", "Tl", "Tl"],
  "frac_coords": [[0.000, 0.000, 0.000], [0.000, 0.000, 0.228], [0.000, 0.000, 0.500], [0.000, 0.000, 0.772], [0.500, 0.500, 0.093], [0.500, 0.500, 0.364], [0.500, 0.500, 0.636], [0.500, 0.500, 0.907]],
  "mass_density_g_cm3": 9.9,
  "total_energy_ev_per_atom": -3.273,
  "ef_ev_per_atom": -0.310
}

(3)
{
  "formula": "Hf3PPd",
  "functional": "GGA-PBE",
  "state": "relaxed",
  "lattice": [[7.630, 0.000, 0.000], [0.000, 3.429, 0.000], [-3.064, 0.000, 7.316]],
  "species": ["Hf", "Hf", "Hf", "Hf", "Hf", "Hf", "P", "P", "Pd", "Pd"],
  "frac_coords": [[0.000, 0.000, 0.000], [0.041, 0.500, 0.668], [0.110, 0.500, 0.336], [0.378, 0.500, 0.053], [0.533, 0.500, 0.557], [0.747, 0.000, 0.292], [0.352, 0.000, 0.289], [0.793, 0.000, 0.643], [0.356, 0.000, 0.759], [0.704, 0.500, 0.990]],
  "mass_density_g_cm3": 11.7,
  "total_energy_ev_per_atom": -8.785,
  "ef_ev_per_atom": -0.692
}

(4)
{
  "formula": "La2Zn3InPt4",
  "functional": "GGA-PBE",
  "state": "relaxed",
  "lattice": [[4.269, 0.000, 0.000], [0.000, 4.269, 0.000], [0.000, 0.000, 11.184]],
  "species": ["La", "La", "Zn", "Zn", "Zn", "In", "Pt", "Pt", "Pt", "Pt"],
  "frac_coords": [[0.000, 0.500, 0.238], [0.500, 0.000, 0.762], [0.000, 0.500, 0.874], [0.500, 0.000, 0.126], [0.500, 0.500, 0.500], [0.000, 0.000, 0.500], [0.000, 0.000, 0.000], [0.000, 0.500, 0.650], [0.500, 0.000, 0.350], [0.500, 0.500, 0.000]],
  "mass_density_g_cm3": 11.2,
  "total_energy_ev_per_atom": -4.849,
  "ef_ev_per_atom": -0.791
}

(5)
{
  "formula": "LaSmHgRu",
  "functional": "GGA-PBE",
  "state": "relaxed",
  "lattice": [[3.578, 0.000, 0.000], [0.000, 3.578, 0.000], [0.000, 0.000, 7.858]],
  "species": ["La", "Sm", "Hg", "Ru"],
  "frac_coords": [[0.000, 0.000, 0.000], [0.000, 0.000, 0.561], [0.500, 0.500, 0.296], [0.500, 0.500, 0.774]],
  "mass_density_g_cm3": 9.8,
  "total_energy_ev_per_atom": -5.160,
  "ef_ev_per_atom": -0.354
}

(6)
{
  "formula": "ZnHPd",
  "functional": "GGA-PBE",
  "state": "relaxed",
  "lattice": [[3.016, 0.000, 0.000], [-1.508, 2.612, 0.000], [0.000, 0.000, 4.249]],
  "species": ["Zn", "H", "Pd"],
  "frac_coords": [[0.000, 0.000, 0.000], [0.333, 0.667, 0.388], [0.667, 0.333, 0.518]],
  "mass_density_g_cm3": 8.6,
  "total_energy_ev_per_atom": -3.462
}

(7)
{
  "formula": "SrTaNi2",
  "functional": "GGA-PBE",
  "state": "relaxed",
  "lattice": [[4.911, 0.000, 0.000], [0.000, 4.911, 0.000], [0.000, 0.000, 2.871]],
  "species": ["Sr", "Ta", "Ni", "Ni"],
  "frac_coords": [[0.000, 0.000, 0.000], [0.500, 0.500, 0.000], [0.000, 0.500, 0.500], [0.500, 0.000, 0.500]],
  "mass_density_g_cm3": 9.3,
  "total_energy_ev_per_atom": -5.966,
  "ef_ev_per_atom": 0.309
}

(8)
{
  "formula": "Th5Bi4Pb",
  "functional": "GGA-PBE",
  "state": "relaxed",
  "lattice": [[-5.140, 5.140, 3.248], [5.140, -5.140, 3.248], [5.140, 5.140, -3.248]],
  "species": ["Th", "Th", "Th", "Th", "Th", "Bi", "Bi", "Bi", "Bi", "Pb"],
  "frac_coords": [[0.000, 0.000, 0.000], [0.205, 0.401, 0.604], [0.401, 0.797, 0.196], [0.601, 0.205, 0.804], [0.797, 0.601, 0.396], [0.099, 0.699, 0.797], [0.302, 0.099, 0.400], [0.699, 0.903, 0.600], [0.903, 0.302, 0.203], [0.500, 0.500, 0.000]],
  "mass_density_g_cm3": 10.7,
  "total_energy_ev_per_atom": -6.138,
  "ef_ev_per_atom": -0.504
}